(1)
RbTmSb2 after structural relaxation, computed with PBE-GGA.

a b c (Å): 8.440 8.440 8.440
angles (deg): 32.46 32.46 32.46
Atoms (fractional coordinates):
Rb 0.000 0.000 0.000
Tm 0.500 0.500 0.500
Sb 0.224 0.224 0.224
Sb 0.776 0.776 0.776

Output
As for the distance to the lowest polymorph of the same formula: 0.115 eV/atom. The value obtained for the formation energy from raw total energies is -463 meV per atom.

---

(2)
RbTmSb2 after structural relaxation, computed with PBE-GGA.

a b c (Å): 4.086 4.086 7.971
angles (deg): 90.00 90.00 90.00
Atoms (fractional coordinates):
Rb 0.000 0.000 0.000
Tm 0.000 0.000 0.500
Sb 0.500 0.500 0.315
Sb 0.500 0.500 0.685

Output
As for the distance to the lowest polymorph of the same formula: 0.000 eV/atom. The value obtained for the formation energy from raw total energies is -578 meV per atom.

---

(3)
Rb2VSb after structural relaxation, computed with PBE-GGA.

a b c (Å): 9.970 9.970 9.970
angles (deg): 93.94 93.94 149.62
Atoms (fractional coordinates):
Rb 0.375 0.086 0.211
Rb 0.836 0.625 0.711
Rb 0.875 0.164 0.789
Rb 0.914 0.125 0.289
V 0.000 0.000 0.000
V 0.750 0.250 0.500
Sb 0.250 0.750 0.500
Sb 0.500 0.500 0.000

Output
The value obtained for the formation energy from raw total energies is 321 meV per atom.

---

(4)
RbV2Sb after structural relaxation, computed with PBE-GGA.

a b c (Å): 10.200 10.200 10.200
angles (deg): 148.77 148.77 44.75
Atoms (fractional coordinates):
Rb 0.375 0.625 0.750
Rb 0.625 0.375 0.250
V 0.000 0.000 0.000
V 0.000 0.000 0.500
V 0.000 0.500 0.000
V 0.500 0.000 0.500
Sb 0.125 0.875 0.250
Sb 0.875 0.125 0.750

Output
The value obtained for the formation energy from raw total energies is 832 meV per atom.

---

(5)
RbVSb3 after structural relaxation, computed with PBE-GGA.

a b c (Å): 5.289 5.289 5.289
angles (deg): 90.00 90.00 90.00
Atoms (fractional coordinates):
Rb 0.000 0.000 0.000
V 0.500 0.500 0.500
Sb 0.000 0.500 0.500
Sb 0.500 0.000 0.500
Sb 0.500 0.500 0.000

Output
As for the distance to the lowest polymorph of the same formula: 0.000 eV/atom. The value obtained for the formation energy from raw total energies is 28 meV per atom.

---

(6)
Rb3VSb after structural relaxation, computed with PBE-GGA.

a b c (Å): 7.051 7.051 7.051
angles (deg): 90.00 90.00 90.00
Atoms (fractional coordinates):
Rb 0.000 0.000 0.500
Rb 0.000 0.500 0.000
Rb 0.500 0.000 0.000
V 0.500 0.500 0.500
Sb 0.000 0.000 0.000

Output
As for the distance to the lowest polymorph of the same formula: 0.000 eV/atom. The value obtained for the formation energy from raw total energies is 762 meV per atom.

---

(7)
Rb2VSb4 after structural relaxation, computed with PBE-GGA.

a b c (Å): 10.181 10.181 10.181
angles (deg): 150.20 150.20 42.64
Atoms (fractional coordinates):
Rb 0.160 0.160 0.000
Rb 0.840 0.840 0.000
V 0.500 0.500 0.000
Sb 0.000 0.500 0.500
Sb 0.362 0.362 0.000
Sb 0.500 0.000 0.500
Sb 0.638 0.638 0.000

Output
The value obtained for the formation energy from raw total energies is -3 meV per atom.

---

(8)
RbVSb3 after structural relaxation, computed with PBE-GGA.

a b c (Å): 5.869 5.869 5.869
angles (deg): 90.00 90.00 90.00
Atoms (fractional coordinates):
Rb 0.000 0.000 0.000
V 0.500 0.500 0.500
Sb 0.000 0.000 0.500
Sb 0.000 0.500 0.000
Sb 0.500 0.000 0.000

Output
As for the distance to the lowest polymorph of the same formula: 1.809 eV/atom. The value obtained for the formation energy from raw total energies is 1837 meV per atom.

---

(9)
Rb2V2Sb after structural relaxation, computed with PBE-GGA.

a b c (Å): 6.983 6.983 6.148
angles (deg): 90.00 90.00 90.00
Atoms (fractional coordinates):
Rb 0.214 0.286 0.000
Rb 0.286 0.786 0.000
Rb 0.714 0.214 0.000
Rb 0.786 0.714 0.000
V 0.094 0.594 0.500
V 0.406 0.094 0.500
V 0.594 0.906 0.500
V 0.906 0.406 0.500
Sb 0.000 0.000 0.500
Sb 0.500 0.500 0.500

Output
As for the distance to the lowest polymorph of the same formula: 0.000 eV/atom. The value obtained for the formation energy from raw total energies is 581 meV per atom.

---

(10)
Rb2V2Sb after structural relaxation, computed with PBE-GGA.

a b c (Å): 8.141 8.141 8.141
angles (deg): 147.82 147.82 46.15
Atoms (fractional coordinates):
Rb 0.250 0.750 0.500
Rb 0.750 0.250 0.500
V 0.060 0.060 0.000
V 0.940 0.940 0.000
Sb 0.500 0.500 0.000

Output
As for the distance to the lowest polymorph of the same formula: 0.421 eV/atom. The value obtained for the formation energy from raw total energies is 1002 meV per atom.

---

(11)
RbZr2VSb after structural relaxation, computed with PBE-GGA.

a b c (Å): 5.155 5.155 4.491
angles (deg): 90.00 90.00 90.00
Atoms (fractional coordinates):
Rb 0.000 0.000 0.000
Zr 0.000 0.500 0.000
Zr 0.500 0.000 0.000
V 0.000 0.000 0.500
Sb 0.500 0.500 0.500

Output
The value obtained for the formation energy from raw total energies is 1965 meV per atom.

---

(12)
RbSbW3 after structural relaxation, computed with PBE-GGA.

a b c (Å): 5.093 5.093 5.093
angles (deg): 90.00 90.00 90.00
Atoms (fractional coordinates):
Rb 0.000 0.000 0.000
Sb 0.500 0.500 0.500
W 0.000 0.500 0.500
W 0.500 0.000 0.500
W 0.500 0.500 0.000

Output
As for the distance to the lowest polymorph of the same formula: 0.000 eV/atom. The value obtained for the formation energy from raw total energies is 2720 meV per atom.